Entry 1:
The following is a PBE calculation of an optimized crystal structure of Ni2MoRh, from Alexandria via LeMat-Bulk.

a b c (Å): 8.7433 8.7433 8.7433
angles (deg): 17.53 17.53 17.53
Last column: magnetic moment on the atom in μB.
Sites, in units of the cell vectors:
Rh 0.2500 0.2500 0.2500  0.75
Ni 0.9994 0.9994 0.9994  0.48
Ni 0.5006 0.5006 0.5006  0.48
Mo 0.7500 0.7500 0.7500  -0.04

Properties
As for the symmetry: No. 166. The volume is 52.9 Å³ per cell. Its formation energy is 0.1092 eV per atom. For the total energy, the calculation gives -7.33 eV/atom.

***

Entry 2:
The following is a PBE calculation of an optimized crystal structure of CrGa, from Alexandria via LeMat-Bulk.

a b c (Å): 5.8781 5.8781 5.8781
angles (deg): 90.00 90.00 90.00
Last column: magnetic moment on the atom in μB.
Sites, in units of the cell vectors:
Cr 0.7500 0.7500 0.2500  3.70
Cr 0.2500 0.2500 0.2500  3.70
Cr 0.7500 0.2500 0.7500  3.70
Cr 0.2500 0.7500 0.7500  3.70
Ga 0.0000 0.5000 0.5000  0.07
Ga 0.5000 0.0000 0.5000  0.07
Ga 0.0000 0.0000 0.0000  0.07
Ga 0.5000 0.5000 0.0000  0.07

Properties
As for the symmetry: No. 216. The volume is 203.1 Å³ per cell. Its formation energy is 1.1881 eV per atom. For the total energy, the calculation gives -5.14 eV/atom.

***

Entry 3:
The following is a PBE calculation of an optimized crystal structure of Ag2RuPb2O6, from Alexandria via LeMat-Bulk.

a b c (Å): 6.0102 6.0102 6.4548
angles (deg): 85.19 85.19 120.25
Last column: magnetic moment on the atom in μB.
Sites, in units of the cell vectors:
Pb 0.3365 0.6635 0.5000  -0.01
Pb 0.6635 0.3365 0.5000  -0.01
O 0.0390 0.7525 0.3281  -0.01
O 0.7525 0.0390 0.3281  -0.01
O 0.2475 0.9610 0.6719  -0.01
O 0.3053 0.3053 0.3418  0.03
O 0.6947 0.6947 0.6582  0.03
O 0.9610 0.2475 0.6719  -0.01
Ag 0.1423 0.8577 0.0000  0.00
Ag 0.8577 0.1423 0.0000  0.00
Ru 0.0000 0.0000 0.5000  0.45

Properties
As for the symmetry: No. 12. The volume is 198.5 Å³ per cell. The value obtained for the uncorrected formation energy is -0.7211 eV per atom. For the total energy, the calculation gives -5.46 eV/atom.

***

Entry 4:
The following is a PBE calculation of an optimized crystal structure of KTa2Cd, from Alexandria via LeMat-Bulk.

a b c (Å): 2.8404 2.8404 11.3236
angles (deg): 90.00 90.00 90.00
Sites, in units of the cell vectors:
Cd 0.5000 0.5000 0.2500
Ta 0.0000 0.0000 0.0411
Ta 0.0000 0.0000 0.4589
K 0.5000 0.5000 0.7500

Properties
As for the symmetry: No. 123. The volume is 91.4 Å³ per cell. Its formation energy is 0.9428 eV per atom. For the total energy, the calculation gives -5.49 eV/atom.